[1]
PaNi2Au after structural relaxation. Source: Alexandria via LeMat-Bulk, functional GGA-PBE.

The formation energy comes out at -309 meV/atom. The calculation puts the volume at 267.3 Å³/cell. The energy above the most stable polymorph in this dataset comes out at 0 meV per atom. For the total energy, the calculation gives -102.28 eV per cell. Its crystal system is cubic.

a b c (Å): 6.441 6.441 6.441
angles (deg): 90.00 90.00 90.00
Space group Fm-3m (No. 225)
Unique sites:
Pa 0.000 0.000 0.000 (multiplicity 4)
Ni 0.250 0.250 0.250 (multiplicity 8)
Au 0.000 0.000 0.500 (multiplicity 4)

---

[2]
AgBiPd3 after structural relaxation. Source: Alexandria via LeMat-Bulk, functional GGA-PBE.

The formation energy comes out at 764 meV/atom. The calculation puts the volume at 118.5 Å³/cell. The energy above the most stable polymorph in this dataset comes out at 942 meV per atom. For the total energy, the calculation gives -18.49 eV per cell. Its crystal system is cubic.

a b c (Å): 4.912 4.912 4.912
angles (deg): 90.00 90.00 90.00
Space group Pm-3m (No. 221)
Unique sites:
Ag 0.000 0.000 0.000 (multiplicity 1)
Bi 0.500 0.500 0.500 (multiplicity 1)
Pd 0.000 0.000 0.500 (multiplicity 3)

---

[3]
Li2IrRh after structural relaxation. Source: Alexandria via LeMat-Bulk, functional GGA-PBE.

The formation energy comes out at -217 meV/atom. The calculation puts the volume at 162.1 Å³/cell. The energy above the most stable polymorph in this dataset comes out at 0 meV per atom. For the total energy, the calculation gives -62.72 eV per cell. Its crystal system is trigonal.

a b c (Å): 2.6693 2.6693 26.2726
angles (deg): 90.00 90.00 120.00
Space group R-3m (No. 166, hexagonal axes)
Unique sites:
Li 0.0000 0.0000 0.2491 (multiplicity 6)
Ir 0.0000 0.0000 0.0000 (multiplicity 3)
Rh 0.0000 0.0000 0.5000 (multiplicity 3)

---

[4]
KLiF3 after structural relaxation. Source: Alexandria via LeMat-Bulk, functional GGA-PBE.

The calculation puts the volume at 577.9 Å³/cell. The energy above the most stable polymorph in this dataset comes out at 68 meV per atom. For the total energy, the calculation gives -158.41 eV per cell. Its crystal system is monoclinic.

a b c (Å): 11.657 8.393 5.981
angles (deg): 90.00 99.07 90.00
Space group C2/c (No. 15)
Unique sites:
K 0.000 0.173 0.250 (multiplicity 4)
K 0.000 0.324 0.750 (multiplicity 4)
Li 0.224 0.025 0.715 (multiplicity 8)
F 0.128 0.064 0.949 (multiplicity 8)
F 0.129 0.461 0.102 (multiplicity 8)
F 0.208 0.332 0.531 (multiplicity 8)